No. 1
Density functional theory data (GGA-PBE) for TiInS2I after structural relaxation.

```
TiInS2I
1.0
5.5113 0.0000 0.0000
0.0000 5.5113 0.0000
0.0000 0.0000 5.0625
Ti In S I
1 1 2 1
direct
0.0000 0.0000 0.0000
0.5000 0.5000 0.0000
0.0000 0.5000 0.5000
0.5000 0.0000 0.5000
0.0000 0.0000 0.5000
```

## Properties
Energy ... -3.34 eV per atom
Raw formation energy ... 0.752 eV/atom
Crystal system ... tetragonal
Symmetry ... No. 123

No. 2
Density functional theory data (GGA-PBE) for InSbI2 after structural relaxation.

```
InSbI2
1.0
0.0000 4.0453 4.0453
4.0453 0.0000 4.0453
4.0453 4.0453 0.0000
In Sb I
1 1 2
direct
0.0000 0.0000 0.0000
0.5000 0.5000 0.5000
0.2500 0.2500 0.2500
0.7500 0.7500 0.7500
```

## Properties
Energy ... -2.34 eV per atom
Raw formation energy ... 0.151 eV/atom
Crystal system ... cubic
Symmetry ... No. 225